No. 1
First-principles (GGA-PBEsol) data for an optimized crystal structure of BaNiSb2, as listed in Alexandria.

a b c (Å): 4.396 4.396 6.275
angles (deg): 110.50 110.50 90.00
Atoms (fractional coordinates):
Ba 0.500 0.500 0.000
Ni 0.000 0.000 0.000
Sb 0.750 0.250 0.500
Sb 0.250 0.750 0.500



No. 2
First-principles (GGA-PBEsol) data for an optimized crystal structure of K2LaBr, as listed in Alexandria.

a b c (Å): 4.643 4.643 7.079
angles (deg): 90.00 90.00 90.00
Atoms (fractional coordinates):
Br 0.000 0.000 0.500
K 0.000 0.500 0.000
K 0.500 0.000 0.000
La 0.500 0.500 0.500



No. 3
First-principles (GGA-PBEsol) data for an optimized crystal structure of K2AsRuPt, as listed in Alexandria.

a b c (Å): 4.509 6.115 6.115
angles (deg): 90.00 90.00 90.00
Atoms (fractional coordinates):
Ru 0.500 0.500 0.500
As 0.500 0.000 0.000
K 0.000 0.000 0.500
K 0.000 0.500 0.000
Pt 0.000 0.000 0.000

Properties
DFT formation energy in kcal/mol of atoms: 23.73



No. 4
First-principles (GGA-PBEsol) data for an optimized crystal structure of AlCS3, as listed in Alexandria.

a b c (Å): 4.061 4.061 4.061
angles (deg): 90.00 90.00 90.00
Atoms (fractional coordinates):
C 0.000 0.000 0.000
S 0.000 0.500 0.000
S 0.000 0.000 0.500
S 0.500 0.000 0.000
Al 0.500 0.500 0.500



no.,final energy (eV per atom)
1,-4.242
2,-2.491
3,-3.873
4,-4.606